The following is a GGA-PBE calculation of a geometry-optimized YZr3Sc6 structure, from Alexandria.

abc: 11.9460 3.2166 13.0963
angles: 90.00 100.10 90.00
Last column: nearest neighbours and their distance in Å.
Space group P2_1/m (No. 11)
Asymmetric unit:
Y  0.0375  0.2500  0.2238 x2  5 Sc 3.10-3.41, 2 Y 3.22, 2 Zr 3.34
Zr  0.0749  0.2500  0.5946 x2  6 Sc 3.19-3.23, 4 Zr 3.22, 2 Y 3.34
Zr  0.3811  0.7500  0.9977 x2  7 Sc 3.03-3.34, 4 Zr 3.22-3.26
Zr  0.4264  0.2500  0.4045 x2  8 Sc 3.08-3.31, 4 Zr 3.22
Sc  0.1343  0.2500  0.9889 x2  6 Sc 3.22-3.44, 2 Zr 3.34, 3 Y 3.47-3.54
Sc  0.1956  0.7500  0.4297 x2  5 Zr 3.19-3.26, 5 Sc 3.21-3.29, 2 Y 3.41
Sc  0.2235  0.7500  0.7850 x2  3 Zr 3.08-3.23, 1 Y 3.10, 7 Sc 3.22-3.44
Sc  0.2800  0.7500  0.2038 x2  7 Sc 3.11-3.44, 3 Zr 3.14-3.31, 2 Y 3.36
Sc  0.3475  0.2500  0.6165 x2  4 Zr 3.08-3.22, 8 Sc 3.21-3.29
Sc  0.4997  0.2500  0.1885 x2  4 Zr 3.03-3.11, 7 Sc 3.11-3.29

Summary:
Energy relative to the elements, eV per atom: 0.069
Theoretical density, g cm⁻³: 4.2